K3In2F9 | PBE | relaxed

Cell lengths 7.8048, 7.8048, 7.8048 Å; angles 87.29, 87.29, 87.29 degrees
Sites, in units of the cell vectors:
K: 0.4175 0.7500 0.0825
K: 0.2500 0.9175 0.5825
K: 0.9175 0.5825 0.2500
K: 0.0825 0.4175 0.7500
K: 0.7500 0.0825 0.4175
K: 0.5825 0.2500 0.9175
In: 0.1392 0.1392 0.1392
In: 0.6392 0.6392 0.6392
In: 0.8608 0.8608 0.8608
In: 0.3608 0.3608 0.3608
F: 0.7342 0.9336 0.0832
F: 0.0664 0.9168 0.2658
F: 0.2500 0.3947 0.1053
F: 0.5664 0.7658 0.4168
F: 0.6053 0.8947 0.7500
F: 0.8947 0.7500 0.6053
F: 0.2342 0.5832 0.4336
F: 0.5832 0.4336 0.2342
F: 0.9168 0.2658 0.0664
F: 0.0832 0.7342 0.9336
F: 0.4168 0.5664 0.7658
F: 0.3947 0.1053 0.2500
F: 0.7658 0.4168 0.5664
F: 0.1053 0.2500 0.3947
F: 0.4336 0.2342 0.5832
F: 0.7500 0.6053 0.8947
F: 0.9336 0.0832 0.7342
F: 0.2658 0.0664 0.9168

Results
**Magnetic moment**: 0.59 μB/cell
**Raw formation energy**: -2.648 eV/atom
**SG**: R-3c, No. 167

=====

KInF3 | PBE | relaxed

Cell lengths 5.5985, 8.3979, 8.3995 Å; angles 116.85, 90.00, 90.00 degrees
Sites, in units of the cell vectors:
K: 0.7496 0.1229 0.6230
K: 0.2504 0.8771 0.3770
K: 0.2496 0.3771 0.8770
K: 0.7504 0.6229 0.1230
In: 0.3023 0.4060 0.4060
In: 0.6977 0.5940 0.5940
In: 0.8023 0.0940 0.0940
In: 0.1977 0.9060 0.9060
F: 0.0766 0.6568 0.6567
F: 0.9234 0.3432 0.3433
F: 0.5766 0.8432 0.8433
F: 0.4234 0.1568 0.1567
F: 0.7484 0.7716 0.4765
F: 0.2516 0.2284 0.5235
F: 0.2484 0.7284 0.0235
F: 0.7516 0.2716 0.9765
F: 0.2511 0.5235 0.2284
F: 0.7489 0.4765 0.7716
F: 0.7511 0.9765 0.2716
F: 0.2489 0.0235 0.7284

Results
**Magnetic moment**: 0.00 μB/cell
**Raw formation energy**: -2.479 eV/atom
**SG**: Cmce, No. 64

=====

K2In3F8 | PBE | relaxed

Cell lengths 6.9141, 6.5294, 8.0984 Å; angles 113.77, 121.13, 89.99 degrees
Sites, in units of the cell vectors:
K: 0.7594 0.6715 0.3429
K: 0.2406 0.3285 0.6571
In: 0.5000 0.0000 0.0000
In: 0.0000 0.2315 0.0000
In: 0.0000 0.7685 0.0000
F: 0.9540 0.3952 0.7904
F: 0.0460 0.6048 0.2096
F: 0.1492 0.8645 0.7289
F: 0.8508 0.1355 0.2711
F: 0.4111 0.8313 0.1378
F: 0.4111 0.3065 0.1378
F: 0.5889 0.6935 0.8622
F: 0.5889 0.1687 0.8622

Results
**Magnetic moment**: 0.00 μB/cell
**Raw formation energy**: -2.392 eV/atom
**SG**: C2/m, No. 12

=====

K4InF5 | PBE | relaxed

Cell lengths 5.5652, 6.6551, 6.6551 Å; angles 79.93, 65.28, 65.28 degrees
Sites, in units of the cell vectors:
K: 0.4107 0.4006 0.8020
K: 0.8113 0.8020 0.5994
K: 0.2127 0.1980 0.4006
K: 0.6133 0.5994 0.1980
In: 0.9885 0.0000 0.0000
F: 0.9197 0.4045 0.7972
F: 0.3243 0.7972 0.5955
F: 0.7169 0.2028 0.4045
F: 0.1215 0.5955 0.2028
F: 0.3915 0.0000 0.0000

Results
**Magnetic moment**: 0.00 μB/cell
**Raw formation energy**: -2.506 eV/atom
**SG**: I4, No. 79

=====

K2InF6 | PBE | relaxed

Cell lengths 5.8442, 7.7970, 7.4630 Å; angles 90.00, 107.71, 90.00 degrees
Sites, in units of the cell vectors:
K: 0.8374 0.4276 0.6660
K: 0.6626 0.9276 0.8340
K: 0.3374 0.0724 0.1660
K: 0.1626 0.5724 0.3340
In: 0.5000 0.5000 0.0000
In: 0.0000 0.0000 0.5000
F: 0.8848 0.9803 0.2053
F: 0.8919 0.7480 0.5349
F: 0.8250 0.6103 0.9892
F: 0.6750 0.1103 0.5108
F: 0.6081 0.2480 0.9651
F: 0.6152 0.4803 0.2947
F: 0.1152 0.0197 0.7947
F: 0.1081 0.2520 0.4651
F: 0.1750 0.3897 0.0108
F: 0.3250 0.8897 0.4892
F: 0.3919 0.7520 0.0349
F: 0.3848 0.5197 0.7053

Results
**Magnetic moment**: 2.09 μB/cell
**Raw formation energy**: -2.352 eV/atom
**SG**: P2_1/c, No. 14

=====

KInF3 | PBE | relaxed

Cell lengths 4.5766, 4.5660, 4.5695 Å; angles 90.01, 90.28, 90.02 degrees
Sites, in units of the cell vectors:
K: 0.9538 0.9990 0.0252
F: 0.5269 0.0000 0.5083
F: 0.5266 0.4978 0.0115
F: 0.0029 0.5033 0.5029
In: 0.4997 0.4999 0.5121

Results
**Magnetic moment**: 0.00 μB/cell
**Raw formation energy**: -2.387 eV/atom
**SG**: P1, No. 1

=====

K2InF | PBE | relaxed

Cell lengths 5.7867, 5.7867, 5.7867 Å; angles 60.00, 60.00, 60.00 degrees
Sites, in units of the cell vectors:
K: 0.2500 0.2500 0.2500
K: 0.7500 0.7500 0.7500
F: 0.0000 0.0000 0.0000
In: 0.5000 0.5000 0.5000

Results
**Magnetic moment**: 0.00 μB/cell
**Raw formation energy**: -0.693 eV/atom
**SG**: Fm-3m, No. 225

=====

KInF3 | PBE | relaxed

Cell lengths 5.0550, 8.6830, 8.1843 Å; angles 105.01, 90.00, 90.00 degrees
Sites, in units of the cell vectors:
K: 0.8084 0.1372 0.6160
K: 0.1916 0.8628 0.3840
K: 0.3084 0.3628 0.8840
K: 0.6916 0.6372 0.1160
In: 0.2040 0.4328 0.3825
In: 0.7960 0.5672 0.6175
In: 0.7040 0.0672 0.1175
In: 0.2960 0.9328 0.8825
F: 0.9999 0.8104 0.6981
F: 0.0001 0.1896 0.3019
F: 0.4999 0.6896 0.8019
F: 0.5001 0.3104 0.1981
F: 0.5193 0.6344 0.4398
F: 0.4807 0.3656 0.5602
F: 0.0193 0.8656 0.0602
F: 0.9807 0.1344 0.9398
F: 0.1564 0.5526 0.1817
F: 0.8436 0.4474 0.8183
F: 0.6564 0.9474 0.3183
F: 0.3436 0.0526 0.6817

Results
**Magnetic moment**: 0.00 μB/cell
**Raw formation energy**: -2.500 eV/atom
**SG**: P2_1/c, No. 14